Li2Cd2Hg7: optimized geometry, PBE.

Total magnetization: 0.00 μB/cell
Crystal system: monoclinic
Total DFT energy (no corrections): -8.86 eV/cell
Relative energy among the computed polymorphs: 14.2 meV/atom
Energy relative to the elements: -0.0989 eV/atom

a b c (Å): 6.386 6.386 7.338
angles (deg): 92.37 92.37 118.14
Atoms (fractional coordinates):
Li: 0.226 0.774 0.000
Li: 0.774 0.226 0.000
Cd: 0.301 0.301 0.073
Cd: 0.699 0.699 0.927
Hg: 0.057 0.509 0.306
Hg: 0.085 0.085 0.698
Hg: 0.491 0.943 0.694
Hg: 0.500 0.500 0.500
Hg: 0.509 0.057 0.306
Hg: 0.915 0.915 0.302
Hg: 0.943 0.491 0.694

Ce4PrY3S8: optimized geometry, PBE.

Total magnetization: 2.93 μB/cell
Crystal system: trigonal
Total DFT energy (no corrections): -113.36 eV/cell
Formation energy (no corrections): -2.03 eV per atom

a b c (Å): 8.010 8.010 8.010
angles (deg): 59.75 59.75 59.75
Atoms (fractional coordinates):
Ce: 0.000 0.000 0.000
Ce: 0.000 0.500 0.500
Ce: 0.500 0.000 0.500
Ce: 0.500 0.500 0.000
Pr: 0.500 0.500 0.500
Y: 0.000 0.000 0.500
Y: 0.000 0.500 0.000
Y: 0.500 0.000 0.000
S: 0.240 0.752 0.752
S: 0.246 0.246 0.246
S: 0.248 0.248 0.760
S: 0.248 0.760 0.248
S: 0.752 0.240 0.752
S: 0.752 0.752 0.240
S: 0.754 0.754 0.754
S: 0.760 0.248 0.248

Sm3TlCd: optimized geometry, PBE.

Total magnetization: 0.00 μB/cell
Crystal system: orthorhombic
Total DFT energy (no corrections): -73.28 eV/cell
Relative energy among the computed polymorphs: 84.0 meV/atom
Energy relative to the elements: -0.1761 eV/atom

a b c (Å): 7.971 7.971 9.586
angles (deg): 90.00 90.00 97.32
Atoms (fractional coordinates):
Sm: 0.043 0.300 0.574
Sm: 0.064 0.936 0.837
Sm: 0.200 0.457 0.926
Sm: 0.300 0.043 0.426
Sm: 0.436 0.564 0.337
Sm: 0.457 0.200 0.074
Sm: 0.543 0.800 0.926
Sm: 0.564 0.436 0.663
Sm: 0.700 0.957 0.574
Sm: 0.800 0.543 0.074
Sm: 0.936 0.064 0.163
Sm: 0.957 0.700 0.426
Tl: 0.204 0.796 0.136
Tl: 0.296 0.704 0.636
Tl: 0.704 0.296 0.364
Tl: 0.796 0.204 0.864
Cd: 0.099 0.401 0.250
Cd: 0.401 0.099 0.750
Cd: 0.599 0.901 0.250
Cd: 0.901 0.599 0.750

PmY14Tl: optimized geometry, PBE.

Total magnetization: 0.00 μB/cell
Crystal system: orthorhombic
Total DFT energy (no corrections): -97.78 eV/cell
Energy relative to the elements: -0.0103 eV/atom

a b c (Å): 10.914 6.967 6.967
angles (deg): 74.91 90.00 90.00
Atoms (fractional coordinates):
Pm: 0.000 0.000 0.000
Y: 0.000 0.063 0.474
Y: 0.000 0.474 0.063
Y: 0.221 0.767 0.767
Y: 0.243 0.277 0.692
Y: 0.243 0.692 0.277
Y: 0.275 0.204 0.204
Y: 0.500 0.426 0.426
Y: 0.500 0.506 0.906
Y: 0.500 0.906 0.506
Y: 0.500 0.976 0.976
Y: 0.725 0.204 0.204
Y: 0.757 0.277 0.692
Y: 0.757 0.692 0.277
Y: 0.779 0.767 0.767
Tl: 0.000 0.551 0.551

SbAuS2Cl: optimized geometry, PBE.

Total magnetization: 0.00 μB/cell
Crystal system: tetragonal
Total DFT energy (no corrections): -15.23 eV/cell
Relative energy among the computed polymorphs: 57.6 meV/atom
Formation energy (no corrections): 0.46 eV per atom

a b c (Å): 5.055 5.055 5.126
angles (deg): 90.00 90.00 90.00
Atoms (fractional coordinates):
Sb: 0.000 0.000 0.000
Au: 0.500 0.500 0.500
S: 0.000 0.500 0.000
S: 0.500 0.000 0.000
Cl: 0.000 0.000 0.500

Ca3Pa3BeAs8: optimized geometry, PBE.

Total magnetization: 0.00 μB/cell
Crystal system: monoclinic
Total DFT energy (no corrections): -86.65 eV/cell
Energy relative to the elements: -0.7489 eV/atom

a b c (Å): 8.194 8.194 8.166
angles (deg): 118.82 118.82 61.71
Atoms (fractional coordinates):
Ca: 0.000 0.000 0.000
Ca: 0.000 0.500 0.000
Ca: 0.500 0.000 0.000
Pa: 0.000 0.500 0.500
Pa: 0.500 0.000 0.500
Pa: 0.500 0.500 0.500
Be: 0.000 0.000 0.500
As: 0.197 0.197 0.682
As: 0.254 0.254 0.263
As: 0.262 0.717 0.743
As: 0.283 0.738 0.257
As: 0.717 0.262 0.743
As: 0.738 0.283 0.257
As: 0.746 0.746 0.737
As: 0.803 0.803 0.318

DyTmAlHg: optimized geometry, PBE.

Total magnetization: 0.00 μB/cell
Crystal system: tetragonal
Total DFT energy (no corrections): -14.84 eV/cell
Relative energy among the computed polymorphs: 0.0 meV/atom
Energy relative to the elements: -0.4299 eV/atom

a b c (Å): 3.597 3.597 7.463
angles (deg): 90.00 90.00 90.00
Atoms (fractional coordinates):
Dy: 0.000 0.000 0.000
Tm: 0.000 0.000 0.519
Al: 0.500 0.500 0.756
Hg: 0.500 0.500 0.269

Ba6Se2SCl3: optimized geometry, PBE.

Total magnetization: 0.00 μB/cell
Crystal system: monoclinic
Total DFT energy (no corrections): -51.55 eV/cell
Formation energy (no corrections): -1.95 eV per atom

a b c (Å): 7.992 7.992 7.955
angles (deg): 99.63 99.63 119.96
Atoms (fractional coordinates):
Ba: 0.079 0.404 0.237
Ba: 0.246 0.246 0.763
Ba: 0.404 0.079 0.237
Ba: 0.596 0.921 0.763
Ba: 0.754 0.754 0.237
Ba: 0.921 0.596 0.763
Se: 0.333 0.667 0.000
Se: 0.667 0.333 0.000
S: 0.000 0.000 0.000
Cl: 0.170 0.830 0.500
Cl: 0.500 0.500 0.500
Cl: 0.830 0.170 0.500

AcCeSn2O8: optimized geometry, PBE.

Total magnetization: 1.09 μB/cell
Crystal system: tetragonal
Total DFT energy (no corrections): -84.56 eV/cell
Formation energy (no corrections): -2.24 eV per atom

a b c (Å): 6.971 6.971 6.971
angles (deg): 133.60 133.60 67.71
Atoms (fractional coordinates):
Ac: 0.000 0.000 0.000
Ce: 0.250 0.750 0.500
Sn: 0.500 0.500 0.000
Sn: 0.750 0.250 0.500
O: 0.032 0.084 0.447
O: 0.235 0.659 0.085
O: 0.341 0.426 0.576
O: 0.415 0.968 0.052
O: 0.574 0.151 0.915
O: 0.637 0.585 0.553
O: 0.849 0.765 0.424
O: 0.916 0.363 0.948

Sm6Er4Sc: optimized geometry, PBE.

Total magnetization: 2.45 μB/cell
Crystal system: tetragonal
Total DFT energy (no corrections): -47.39 eV/cell
Relative energy among the computed polymorphs: 370.8 meV/atom
Energy relative to the elements: 0.5004 eV/atom

a b c (Å): 8.276 8.276 8.276
angles (deg): 121.70 121.70 87.08
Atoms (fractional coordinates):
Sm: 0.000 0.500 0.500
Sm: 0.042 0.042 0.641
Sm: 0.401 0.401 0.359
Sm: 0.500 0.000 0.500
Sm: 0.599 0.958 0.000
Sm: 0.958 0.599 0.000
Er: 0.108 0.108 0.340
Er: 0.231 0.892 0.000
Er: 0.769 0.769 0.660
Er: 0.892 0.231 0.000
Sc: 0.500 0.500 0.000

TlGaHg: optimized geometry, PBE.

Total magnetization: 0.00 μB/cell
Crystal system: orthorhombic
Total DFT energy (no corrections): -21.73 eV/cell
Energy relative to the elements: 0.0874 eV/atom

a b c (Å): 6.365 5.279 9.295
angles (deg): 90.00 90.00 90.00
Atoms (fractional coordinates):
Tl: 0.141 0.250 0.076
Tl: 0.359 0.750 0.576
Tl: 0.641 0.250 0.424
Tl: 0.859 0.750 0.924
Ga: 0.016 0.750 0.273
Ga: 0.484 0.250 0.773
Ga: 0.516 0.750 0.227
Ga: 0.984 0.250 0.727
Hg: 0.143 0.250 0.419
Hg: 0.357 0.750 0.919
Hg: 0.643 0.250 0.081
Hg: 0.857 0.750 0.581

Sr2CrCoN: optimized geometry, PBE.

Total magnetization: 4.94 μB/cell
Crystal system: tetragonal
Total DFT energy (no corrections): -28.03 eV/cell
Formation energy (no corrections): 0.08 eV per atom

a b c (Å): 5.525 5.525 3.580
angles (deg): 90.00 90.00 90.00
Atoms (fractional coordinates):
Sr: 0.000 0.500 0.000
Sr: 0.500 0.000 0.000
Cr: 0.000 0.000 0.500
Co: 0.500 0.500 0.500
N: 0.500 0.500 0.000

In2OsSe: optimized geometry, PBE.

Total magnetization: 0.00 μB/cell
Crystal system: monoclinic
Total DFT energy (no corrections): -17.96 eV/cell
Formation energy (no corrections): 0.56 eV per atom

a b c (Å): 5.053 5.053 5.066
angles (deg): 109.92 109.92 41.09
Atoms (fractional coordinates):
In: 0.244 0.244 0.230
In: 0.756 0.756 0.770
Os: 0.500 0.500 0.000
Se: 0.000 0.000 0.500

CaEu2Ho: optimized geometry, PBE.

Total magnetization: 15.28 μB/cell
Crystal system: trigonal
Total DFT energy (no corrections): -26.85 eV/cell
Relative energy among the computed polymorphs: 0.0 meV/atom
Energy relative to the elements: 0.0687 eV/atom

a b c (Å): 12.718 12.718 12.718
angles (deg): 17.00 17.00 17.00
Atoms (fractional coordinates):
Ca: 0.000 0.000 0.000
Eu: 0.246 0.246 0.246
Eu: 0.754 0.754 0.754
Ho: 0.500 0.500 0.500

TaCu2Pt: optimized geometry, PBE.

Total magnetization: 0.00 μB/cell
Crystal system: monoclinic
Total DFT energy (no corrections): -26.77 eV/cell
Relative energy among the computed polymorphs: 54.1 meV/atom
Energy relative to the elements: -0.1708 eV/atom

a b c (Å): 2.751 4.108 5.297
angles (deg): 90.00 104.98 90.00
Atoms (fractional coordinates):
Ta: 0.000 0.000 0.000
Cu: 0.623 0.500 0.248
Cu: 0.740 0.000 0.483
Pt: 0.363 0.500 0.730

La6Bi4Sb: optimized geometry, PBE.

Total magnetization: 0.25 μB/cell
Crystal system: trigonal
Total DFT energy (no corrections): -117.45 eV/cell
Formation energy (no corrections): -0.86 eV per atom

a b c (Å): 9.267 9.267 9.267
angles (deg): 89.58 89.58 89.58
Atoms (fractional coordinates):
La: 0.059 0.920 0.685
La: 0.080 0.315 0.941
La: 0.185 0.420 0.559
La: 0.315 0.941 0.080
La: 0.420 0.559 0.185
La: 0.441 0.815 0.580
La: 0.559 0.185 0.420
La: 0.580 0.441 0.815
La: 0.685 0.059 0.920
La: 0.815 0.580 0.441
La: 0.920 0.685 0.059
La: 0.941 0.080 0.315
Bi: 0.135 0.750 0.365
Bi: 0.250 0.250 0.250
Bi: 0.250 0.635 0.865
Bi: 0.365 0.135 0.750
Bi: 0.635 0.865 0.250
Bi: 0.750 0.365 0.135
Bi: 0.750 0.750 0.750
Bi: 0.865 0.250 0.635
Sb: 0.000 0.000 0.000
Sb: 0.500 0.500 0.500

Cs2SnSe: optimized geometry, PBE.

Total magnetization: 2.00 μB/cell
Crystal system: cubic
Total DFT energy (no corrections): -9.89 eV/cell
Relative energy among the computed polymorphs: 190.7 meV/atom
Formation energy (no corrections): -0.17 eV per atom

a b c (Å): 6.320 6.320 6.320
angles (deg): 60.00 60.00 60.00
Atoms (fractional coordinates):
Cs: 0.250 0.250 0.250
Cs: 0.750 0.750 0.750
Sn: 0.000 0.000 0.000
Se: 0.500 0.500 0.500

FeNi4W: optimized geometry, PBE.

Total magnetization: 1.11 μB/cell
Crystal system: hexagonal
Total DFT energy (no corrections): -44.50 eV/cell
Relative energy among the computed polymorphs: 0.0 meV/atom
Energy relative to the elements: 0.0069 eV/atom

a b c (Å): 4.038 4.038 4.932
angles (deg): 90.00 90.00 120.00
Atoms (fractional coordinates):
Fe: 0.000 0.000 0.000
Ni: 0.333 0.667 0.243
Ni: 0.333 0.667 0.757
Ni: 0.667 0.333 0.243
Ni: 0.667 0.333 0.757
W: 0.000 0.000 0.500

Be2CdBi: optimized geometry, PBE.

Total magnetization: 0.00 μB/cell
Crystal system: tetragonal
Total DFT energy (no corrections): -20.08 eV/cell
Relative energy among the computed polymorphs: 0.0 meV/atom
Energy relative to the elements: 0.5516 eV/atom

a b c (Å): 8.962 8.962 8.962
angles (deg): 151.56 151.56 40.65
Atoms (fractional coordinates):
Be: 0.375 0.198 0.323
Be: 0.802 0.125 0.177
Be: 0.875 0.052 0.677
Be: 0.948 0.625 0.823
Cd: 0.000 0.000 0.000
Cd: 0.750 0.250 0.500
Bi: 0.250 0.750 0.500
Bi: 0.500 0.500 0.000

MnCo3: optimized geometry, PBE.

Total magnetization: 8.40 μB/cell
Crystal system: orthorhombic
Total DFT energy (no corrections): -30.27 eV/cell
Energy relative to the elements: 0.0554 eV/atom

a b c (Å): 4.746 4.746 4.746
angles (deg): 145.41 129.57 62.60
Atoms (fractional coordinates):
Mn: 0.000 0.000 0.000
Co: 0.253 0.753 0.500
Co: 0.500 0.500 0.000
Co: 0.747 0.247 0.500

KRb2SeCl: optimized geometry, PBE.

Total magnetization: 0.00 μB/cell
Crystal system: tetragonal
Total DFT energy (no corrections): -14.34 eV/cell
Formation energy (no corrections): -1.19 eV per atom

a b c (Å): 6.528 6.528 6.167
angles (deg): 90.00 90.00 90.00
Atoms (fractional coordinates):
K: 0.000 0.000 0.000
Rb: 0.000 0.500 0.500
Rb: 0.500 0.000 0.500
Se: 0.000 0.000 0.500
Cl: 0.500 0.500 0.000

Pm3NdSm8: optimized geometry, PBE.

Total magnetization: 0.00 μB/cell
Crystal system: orthorhombic
Total DFT energy (no corrections): -53.14 eV/cell
Energy relative to the elements: 0.3027 eV/atom

a b c (Å): 8.810 8.810 8.810
angles (deg): 136.28 98.67 97.27
Atoms (fractional coordinates):
Pm: 0.000 0.000 0.000
Pm: 0.249 0.749 0.500
Pm: 0.751 0.251 0.500
Nd: 0.500 0.500 0.000
Sm: 0.082 0.250 0.832
Sm: 0.249 0.251 0.499
Sm: 0.249 0.749 0.998
Sm: 0.417 0.250 0.168
Sm: 0.583 0.750 0.832
Sm: 0.751 0.251 0.002
Sm: 0.751 0.749 0.501
Sm: 0.918 0.750 0.168